DFT (PBE) results for an optimized crystal structure of Na2CaIrCl8.

Geometry as POSCAR:
```
Na2CaIrCl8
1.0
6.404 -0.144 -0.003
-0.133 6.232 -0.007
0.005 0.010 8.070
Na Ca Ir Cl
2 1 1 8
Direct
0.500 0.500 0.749
0.500 0.500 0.251
0.000 0.000 0.500
0.000 0.000 0.000
0.140 0.784 0.209
0.693 0.784 0.000
0.860 0.215 0.209
0.860 0.216 0.791
0.307 0.216 0.000
0.140 0.785 0.791
0.671 0.733 0.500
0.329 0.267 0.500
```

Output
Symmetry = P2/m, No. 10
Electronic total energy = -3.684 eV/atom

DFT (PBE) results for an optimized crystal structure of TmTh2PaSb4.

Geometry as POSCAR:
```
TmTh2PaSb4
1.0
4.431 0.000 0.000
0.000 7.669 0.138
0.000 -2.686 7.180
Tm Th Pa Sb
1 2 1 4
Direct
0.500 0.500 0.000
0.500 0.000 0.500
0.000 0.500 0.500
0.000 0.000 0.000
0.500 0.248 0.238
0.500 0.752 0.762
0.000 0.256 0.763
0.000 0.744 0.237
```

Output
Symmetry = P2/m, No. 10
Electronic total energy = -6.483 eV/atom

DFT (PBE) results for an optimized crystal structure of BaCd2Pd2.

Geometry as POSCAR:
```
BaCd2Pd2
1.0
-5.346 -6.070 2.113
3.877 -0.853 7.357
-1.960 2.174 1.285
Ba Pd Cd
2 4 4
Direct
0.000 0.000 0.000
0.500 0.500 0.000
0.175 0.675 0.500
0.675 0.825 0.500
0.825 0.325 0.500
0.325 0.175 0.500
0.379 0.879 0.000
0.879 0.621 0.000
0.621 0.121 0.000
0.121 0.379 0.000
```

Output
Symmetry = P4/mbm, No. 127
ΔE_f = -0.32 eV per atom

DFT (PBE) results for an optimized crystal structure of NaHfIn2.

Geometry as POSCAR:
```
NaHfIn2
1.0
-2.748 -1.146 -1.275
-1.856 -2.030 1.710
-6.868 7.230 4.195
Na Hf In
1 1 2
Direct
0.000 0.000 0.000
0.500 0.500 0.500
0.753 0.753 0.740
0.247 0.247 0.260
```

Output
Symmetry = R-3m, No. 166
ΔE_f = 0.00 eV per atom

DFT (PBE) results for an optimized crystal structure of Li2SmDyS4.

Geometry as POSCAR:
```
Li2SmDyS4
1.0
3.961 0.000 0.000
0.000 6.859 0.115
0.000 -2.387 6.147
Li Sm Dy S
2 1 1 4
Direct
0.500 0.000 0.500
0.000 0.500 0.500
0.000 0.000 0.000
0.500 0.500 0.000
0.500 0.256 0.254
0.500 0.744 0.746
0.000 0.254 0.749
0.000 0.746 0.251
```

Output
Symmetry = P2/m, No. 10
Electronic total energy = -5.533 eV/atom

DFT (PBE) results for an optimized crystal structure of InAg6.

Geometry as POSCAR:
```
InAg6
1.0
-3.605 1.428 -5.237
4.541 -4.383 -1.619
-3.827 -2.459 4.666
In Ag
1 6
Direct
0.000 0.000 0.000
0.250 0.750 0.500
0.500 0.750 0.250
0.250 0.500 0.750
0.750 0.250 0.500
0.500 0.250 0.750
0.750 0.500 0.250
```

Output
Symmetry = Im-3m, No. 229
ΔE_f = 0.64 eV per atom

| no. | Fermi-level density of states (states/eV per cell) | size of the total moment (μB/f.u.) | volume (A^3/atom) |
| --- | --- | --- | --- |
| 1 | 5.8 | 1.08 | 26.8 |
| 2 | 7.8 | 0.53 | 30.7 |
| 3 | 4.0 | 0.00 | 22.3 |
| 4 | 3.2 | 0.00 | 24.2 |
| 5 | 0.0 | 0.00 | 21.0 |
| 6 | 0.9 | 0.00 | 30.4 |